Entry 1:
## HoNpTe2N (GGA-PBE)

Data for an optimized crystal structure of HoNpTe2N. Values from VASP.

Structure (Quantum ESPRESSO input):
```
&SYSTEM
  ibrav = 0, nat = 10, ntyp = 4
/
ATOMIC_SPECIES
Ho 164.93 Ho.upf
Np 237.00 Np.upf
Te 127.60 Te.upf
N 14.01 N.upf
ATOMIC_POSITIONS angstrom
Ho 1.013 1.013 2.178
Ho 3.038 3.038 13.720
Np 1.013 1.013 9.006
Np 3.038 3.038 6.892
Te 1.013 1.013 5.082
Te 1.013 1.013 14.593
Te 3.038 3.038 1.305
Te 3.038 3.038 10.815
N 1.013 3.038 7.949
N 3.038 1.013 7.949
CELL_PARAMETERS angstrom
4.050 0.000 0.000
0.000 4.050 0.000
0.000 0.000 15.897
```

symmetry: P4/nmm, No. 129
E: -7.595 eV/atom

=====

Entry 2:
## PmTiSbO6 (GGA-PBE)

Data for an optimized crystal structure of PmTiSbO6. Values from VASP.

Structure (Quantum ESPRESSO input):
```
&SYSTEM
  ibrav = 0, nat = 18, ntyp = 4
/
ATOMIC_SPECIES
Pm 145.00 Pm.upf
Ti 47.87 Ti.upf
Sb 121.76 Sb.upf
O 16.00 O.upf
ATOMIC_POSITIONS angstrom
Pm 0.000 0.000 0.000
Pm 0.000 0.000 5.065
Ti 0.000 3.032 2.532
Ti 2.626 1.516 7.597
Sb 0.000 3.032 7.597
Sb 2.626 1.516 2.532
O -0.953 1.678 1.434
O -1.649 2.884 3.631
O 0.953 1.678 3.631
O -0.696 4.534 1.434
O 1.930 0.014 6.499
O 0.977 1.664 8.696
O 1.649 2.884 1.434
O 0.696 4.534 3.631
O 3.322 0.014 8.696
O 1.673 2.870 6.499
O 4.275 1.664 6.499
O 3.579 2.870 8.696
CELL_PARAMETERS angstrom
5.252 0.000 0.000
-2.626 4.548 0.000
0.000 0.000 10.130
```

symmetry: P-31c, No. 163
E: -7.746 eV/atom

=====

Entry 3:
## Pr7Dy16Tm6 (GGA-PBE)

Data for an optimized crystal structure of Pr7Dy16Tm6. Values from VASP.

Structure (Quantum ESPRESSO input):
```
&SYSTEM
  ibrav = 0, nat = 29, ntyp = 3
/
ATOMIC_SPECIES
Pr 140.91 Pr.upf
Dy 162.50 Dy.upf
Tm 168.93 Tm.upf
ATOMIC_POSITIONS angstrom
Pr 0.000 0.000 0.000
Pr 3.970 3.970 0.000
Pr 3.970 0.000 3.970
Pr 7.940 3.970 3.970
Pr 0.000 3.970 3.970
Pr 3.970 7.940 3.970
Pr 3.970 3.970 7.940
Dy 10.300 5.579 5.579
Dy 2.052 2.052 2.052
Dy 5.887 5.887 2.052
Dy 5.887 2.052 5.887
Dy 5.579 5.579 5.579
Dy 10.300 10.300 5.579
Dy 10.300 5.579 10.300
Dy 13.827 9.992 9.992
Dy 2.052 5.887 5.887
Dy 5.579 10.300 5.579
Dy 5.579 5.579 10.300
Dy 10.300 10.300 10.300
Dy 9.992 13.827 9.992
Dy 9.992 9.992 13.827
Dy 13.827 13.827 13.827
Dy 5.579 10.300 10.300
Tm 7.940 7.940 4.044
Tm 7.940 4.044 7.940
Tm 11.836 7.940 7.940
Tm 4.044 7.940 7.940
Tm 7.940 11.836 7.940
Tm 7.940 7.940 11.836
CELL_PARAMETERS angstrom
0.000 7.940 7.940
7.940 0.000 7.940
7.940 7.940 0.000
```

symmetry: Fm-3m, No. 225
E_form: 0.27 eV per atom